La4SnC after structural relaxation, computed with GGA-PBE.

It has space group C2/m (No. 12), with a = 15.785 Å, b = 7.051 Å, c = 6.420 Å, α = 90.00°, β = 103.94° and γ = 90.00°. The distinct sites, in fractional coordinates, are La at (0.000, 0.244, 0.000), La at (0.105, 0.269, 0.584), La at (0.204, 0.500, 0.190), Sn at (0.198, 0.000, 0.239) and C at (0.052, 0.500, 0.286).

Its energy of formation is -0.28 eV/atom.